{"formula": "Sr3TaCl", "functional": "PBE-GGA", "state": "relaxed", "cell": [[6.0914, 0.0000, 0.0000], [0.0000, 6.0914, 0.0000], [0.0000, 0.0000, 6.0914]], "species": ["Sr", "Sr", "Sr", "Ta", "Cl"], "frac_coords": [[0.0000, 0.0000, 0.5000], [0.0000, 0.5000, 0.0000], [0.5000, 0.0000, 0.0000], [0.0000, 0.0000, 0.0000], [0.5000, 0.5000, 0.5000]], "polymorph_energy_mev_per_atom": 401, "magnetic_moment_mub_per_fu": 2.026, "density_g_cm3": 3.52, "raw_formation_energy_ev_per_atom": 0.629}

=====

{"formula": "TbCd2Cu", "functional": "PBE-GGA", "state": "relaxed", "cell": [[3.3455, 0.0000, 0.0000], [0.0000, 3.3455, 0.0000], [0.0000, 0.0000, 7.5513]], "species": ["Tb", "Cd", "Cd", "Cu"], "frac_coords": [[0.0000, 0.0000, 0.0000], [0.5000, 0.5000, 0.2976], [0.5000, 0.5000, 0.7024], [0.0000, 0.0000, 0.5000]], "formation_enthalpy_0k_mev_per_atom": -109, "magnetic_moment_mub_per_fu": 0.165, "density_g_cm3": 8.79}

=====

{"formula": "PmHoSe2O8", "functional": "PBE-GGA", "state": "relaxed", "cell": [[-2.6086, 2.6086, 5.7281], [2.6086, -2.6086, 5.7281], [2.6086, 2.6086, -5.7281]], "species": ["Pm", "Ho", "Se", "Se", "O", "O", "O", "O", "O", "O", "O", "O"], "frac_coords": [[0.0000, 0.0000, 0.0000], [0.2500, 0.7500, 0.5000], [0.5000, 0.5000, 0.0000], [0.7500, 0.2500, 0.5000], [0.2572, 0.6921, 0.1247], [0.3079, 0.4326, 0.5651], [0.4444, 0.0184, 0.1164], [0.5674, 0.1325, 0.8753], [0.6720, 0.5556, 0.5740], [0.8675, 0.7428, 0.4349], [0.9020, 0.3280, 0.8836], [0.9816, 0.0980, 0.4260]], "magnetic_moment_mub_per_fu": 0.000, "density_g_cm3": 6.35, "raw_formation_energy_ev_per_atom": -1.804}

=====

{"formula": "LuScRu2", "functional": "PBE-GGA", "state": "relaxed", "cell": [[3.2704, 0.0000, 0.0000], [0.0000, 3.2704, 0.0000], [0.0000, 0.0000, 6.5445]], "species": ["Lu", "Sc", "Ru", "Ru"], "frac_coords": [[0.0000, 0.0000, 0.0000], [0.0000, 0.0000, 0.5000], [0.5000, 0.5000, 0.2592], [0.5000, 0.5000, 0.7408]], "polymorph_energy_mev_per_atom": 0, "formation_enthalpy_0k_mev_per_atom": -497, "magnetic_moment_mub_per_fu": 0.000, "density_g_cm3": 10.01}

=====

{"formula": "MnAs", "functional": "PBE-GGA", "state": "relaxed", "cell": [[6.9981, 0.0000, 0.0000], [0.0000, 6.9981, 0.0000], [0.0000, 0.0000, 6.9981]], "species": ["Mn", "Mn", "Mn", "Mn", "Mn", "Mn", "As", "As", "As", "As", "As", "As"], "frac_coords": [[0.0000, 0.2500, 0.5000], [0.0000, 0.7500, 0.5000], [0.2500, 0.5000, 0.0000], [0.5000, 0.0000, 0.2500], [0.5000, 0.0000, 0.7500], [0.7500, 0.5000, 0.0000], [0.0000, 0.5000, 0.2500], [0.0000, 0.5000, 0.7500], [0.2500, 0.0000, 0.5000], [0.5000, 0.2500, 0.0000], [0.5000, 0.7500, 0.0000], [0.7500, 0.0000, 0.5000]], "formation_enthalpy_0k_mev_per_atom": 223, "magnetic_moment_mub_per_fu": 3.976, "density_g_cm3": 3.78}

=====

{"formula": "Dy2AlPd2", "functional": "PBE-GGA", "state": "relaxed", "cell": [[7.4655, 0.0000, 0.0000], [0.0000, 7.4655, 0.0000], [0.0000, 0.0000, 7.6443]], "species": ["Dy", "Dy", "Dy", "Dy", "Dy", "Dy", "Dy", "Dy", "Al", "Al", "Al", "Al", "Pd", "Pd", "Pd", "Pd", "Pd", "Pd", "Pd", "Pd"], "frac_coords": [[0.1742, 0.3253, 0.0000], [0.1747, 0.3258, 0.5000], [0.3253, 0.8258, 0.0000], [0.3258, 0.8253, 0.5000], [0.6742, 0.1747, 0.5000], [0.6747, 0.1742, 0.0000], [0.8253, 0.6742, 0.5000], [0.8258, 0.6747, 0.0000], [0.0000, 0.0000, 0.2512], [0.0000, 0.0000, 0.7488], [0.5000, 0.5000, 0.2488], [0.5000, 0.5000, 0.7512], [0.1331, 0.6331, 0.2500], [0.1331, 0.6331, 0.7500], [0.3669, 0.1331, 0.2500], [0.3669, 0.1331, 0.7500], [0.6331, 0.8669, 0.2500], [0.6331, 0.8669, 0.7500], [0.8669, 0.3669, 0.2500], [0.8669, 0.3669, 0.7500]], "formation_enthalpy_0k_mev_per_atom": -824, "magnetic_moment_mub_per_fu": 0.000, "density_g_cm3": 8.81}